{"formula": "Ge2IrPd", "functional": "GGA-PBE", "state": "optimized geometry", "total_energy_ev_per_atom": -5.697, "lattice": [[0.0000, 3.1726, 3.1726], [3.1726, 0.0000, 3.1726], [3.1726, 3.1726, 0.0000]], "species": ["Pd", "Ge", "Ir", "Ge"], "frac_coords": [[0.7500, 0.7500, 0.7500], [0.0000, 0.0000, 0.0000], [0.5000, 0.5000, 0.5000], [0.2500, 0.2500, 0.2500]]}

***

{"formula": "LuZn5", "functional": "GGA-PBE", "state": "optimized geometry", "e_form_kj_per_mol_atoms": -24, "lattice": [[8.8056, 0.0000, 0.0000], [-4.4028, 7.6258, 0.0000], [0.0000, 0.0000, 8.9529]], "species": ["Lu", "Zn", "Zn", "Lu", "Zn", "Zn", "Zn", "Lu", "Zn", "Zn", "Zn", "Zn", "Zn", "Zn", "Lu", "Lu", "Zn", "Zn", "Zn", "Zn", "Zn", "Zn", "Zn", "Zn", "Zn", "Zn", "Zn", "Zn", "Zn", "Zn", "Zn", "Lu", "Zn", "Zn", "Zn", "Zn"], "frac_coords": [[0.1932, 0.8068, 0.2500], [0.1589, 0.8411, 0.9063], [0.5000, 0.5000, 0.0000], [0.6137, 0.8068, 0.2500], [0.6822, 0.8411, 0.5937], [0.4330, 0.8661, 0.7500], [0.1589, 0.3178, 0.5937], [0.8068, 0.6137, 0.7500], [0.8411, 0.1589, 0.4063], [0.5000, 0.0000, 0.0000], [0.5000, 0.0000, 0.5000], [0.3333, 0.6667, 0.0153], [0.1589, 0.3178, 0.9063], [0.3178, 0.1589, 0.0937], [0.8068, 0.1932, 0.7500], [0.1932, 0.3863, 0.2500], [0.0000, 0.5000, 0.5000], [0.6667, 0.3333, 0.5153], [0.8411, 0.6822, 0.4063], [0.0000, 0.0000, 0.5000], [0.6822, 0.8411, 0.9063], [0.3178, 0.1589, 0.4063], [0.8661, 0.4330, 0.2500], [0.4330, 0.5670, 0.7500], [0.1589, 0.8411, 0.5937], [0.1339, 0.5670, 0.7500], [0.0000, 0.5000, 0.0000], [0.0000, 0.0000, 0.0000], [0.8411, 0.6822, 0.0937], [0.5670, 0.1339, 0.2500], [0.5670, 0.4330, 0.2500], [0.3863, 0.1932, 0.7500], [0.3333, 0.6667, 0.4847], [0.8411, 0.1589, 0.0937], [0.6667, 0.3333, 0.9847], [0.5000, 0.5000, 0.5000]]}

***

{"formula": "CsUAg", "functional": "GGA-PBE", "state": "optimized geometry", "de_polymorph_mev_per_atom": 217.2, "lattice": [[-0.4096, -2.1036, 4.6852], [3.1050, -3.8790, 1.3625], [3.6998, 0.7700, 3.5019]], "species": ["U", "Ag", "Cs"], "frac_coords": [[0.2500, 0.2500, 0.2500], [0.7500, 0.7500, 0.7500], [0.0000, 0.0000, 0.0000]]}

***

{"formula": "HoInCl6", "functional": "GGA-PBE", "state": "optimized geometry", "total_energy_ev_per_atom": -3.974, "lattice": [[3.3196, -5.7619, 0.0000], [3.3196, 5.7619, 0.0000], [-2.2378, 0.0000, 6.0990]], "species": ["Cl", "Ho", "Cl", "Cl", "Cl", "Cl", "Cl", "In"], "frac_coords": [[0.9298, 0.5692, 0.2396], [0.1653, 0.8347, 0.0000], [0.7698, 0.7802, 0.7580], [0.0611, 0.4109, 0.7620], [0.5891, 0.9389, 0.2380], [0.2198, 0.2302, 0.2420], [0.4308, 0.0702, 0.7604], [0.8342, 0.1658, 0.0000]]}

***

Number 1: V 16.0 A^3/atom. Number 2: V 16.7 A^3/atom. Number 3: V 32.2 A^3/atom. Number 4: V 29.2 A^3/atom.